No. 1
Entry from Alexandria: YAg2HgH after structural relaxation (PBE).

abc: 4.546 4.546 4.409
angles: 90.00 90.00 90.00
Space group P4/mmm (No. 123)
One atom of each set of equivalent atoms:
Y 0.000 0.000 0.000
Ag 0.000 0.500 0.500
Hg 0.500 0.500 0.000
H 0.000 0.000 0.500

DOS at the Fermi energy	1.993	states/eV/cell
VASP energy	-3.308	eV per atom
magnetic moment	0.000	μB per formula unit

---

No. 2
Entry from Alexandria: Nd8NiTe4As3 after structural relaxation (PBE).

abc: 15.011 8.666 8.842
angles: 90.00 124.47 90.00
Space group C2/m (No. 12)
One atom of each set of equivalent atoms:
Nd 0.008 0.244 0.281
Nd 0.237 0.000 0.721
Nd 0.240 0.500 0.721
Ni 0.000 0.000 0.500
Te 0.000 0.000 0.000
Te 0.000 0.500 0.000
Te 0.250 0.250 0.000
As 0.000 0.500 0.500
As 0.250 0.250 0.500

DOS at the Fermi energy	22.793	states/eV/cell
VASP energy	-5.755	eV per atom
magnetic moment	0.069	μB per formula unit

---

No. 3
Entry from Alexandria: GdTiPdAu after structural relaxation (PBE).

abc: 6.855 6.855 6.855
angles: 90.00 90.00 90.00
Space group F-43m (No. 216)
One atom of each set of equivalent atoms:
Gd 0.000 0.000 0.000
Ti 0.000 0.000 0.500
Pd 0.250 0.250 0.750
Au 0.250 0.250 0.250

DOS at the Fermi energy	21.377	states/eV/cell
magnetic moment	5.626	μB per formula unit
E_form	-0.468	eV/atom

---

No. 4
Entry from Alexandria: Tl6InHg4 after structural relaxation (PBE).

abc: 6.318 6.318 16.934
angles: 90.00 90.00 90.00
Space group I-42m (No. 121)
One atom of each set of equivalent atoms:
Tl 0.000 0.500 0.000
Tl 0.198 0.198 0.177
In 0.000 0.000 0.000
Hg 0.187 0.187 0.365

DOS at the Fermi energy	9.230	states/eV/cell
magnetic moment	0.000	μB per formula unit
E_form	0.021	eV/atom

---

No. 5
Entry from Alexandria: Na2Mg after structural relaxation (PBE).

abc: 3.388 5.134 10.639
angles: 90.00 90.00 90.00
Space group Immm (No. 71)
One atom of each set of equivalent atoms:
Na 0.000 0.000 0.162
Mg 0.000 0.000 0.500

DOS at the Fermi energy	3.213	states/eV/cell
magnetic moment	0.000	μB per formula unit
E_form	0.098	eV/atom

---

No. 6
Entry from Alexandria: ScPAu after structural relaxation (PBE).

abc: 6.140 6.140 6.140
angles: 90.00 90.00 90.00
Space group F-43m (No. 216)
One atom of each set of equivalent atoms:
Sc 0.000 0.000 0.000
P 0.250 0.250 0.250
Au 0.000 0.000 0.500

DOS at the Fermi energy	13.368	states/eV/cell
magnetic moment	0.645	μB per formula unit
E_form	-0.607	eV/atom

---

No. 7
Entry from Alexandria: NdUOs after structural relaxation (PBE).

abc: 3.539 3.539 11.159
angles: 90.00 90.00 90.00
Space group I4mm (No. 107)
One atom of each set of equivalent atoms:
Nd 0.000 0.000 0.000
U 0.000 0.000 0.702
Os 0.000 0.000 0.299

DOS at the Fermi energy	9.474	states/eV/cell
magnetic moment	0.589	μB per formula unit
E above lowest polymorph	0.00	eV per formula unit
E_form	0.051	eV/atom

---

No. 8
Entry from Alexandria: Ca4Th3TaN8 after structural relaxation (PBE).

abc: 7.0967 7.0967 17.1923
angles: 90.00 90.00 120.00
Space group R-3m (No. 166, hexagonal axes)
One atom of each set of equivalent atoms:
Ca 0.0000 0.0000 0.0000
Ca 0.0000 0.5000 0.0000
Th 0.0000 0.5000 0.5000
Ta 0.0000 0.0000 0.5000
N 0.0000 0.0000 0.2434
N 0.0297 0.5148 0.2382

DOS at the Fermi energy	9.114	states/eV/cell
VASP energy	-8.111	eV per atom
magnetic moment	0.000	μB per formula unit

---

No. 9
Entry from Alexandria: Zn6RhAu2 after structural relaxation (PBE).

abc: 3.916 4.961 7.946
angles: 76.17 75.80 66.89
Space group P-1 (No. 2)
One atom of each set of equivalent atoms:
Zn 0.001 0.170 0.327
Zn 0.330 0.937 0.902
Zn 0.347 0.594 0.212
Rh 0.000 0.500 0.000
Au 0.326 0.272 0.576

DOS at the Fermi energy	2.611	states/eV/cell
magnetic moment	0.000	μB per formula unit
E above lowest polymorph	0.00	eV per formula unit
E_form	-0.255	eV/atom

---

No. 10
Entry from Alexandria: PuNp4Se6 after structural relaxation (PBE).

abc: 11.6871 11.6871 13.8337
angles: 90.00 90.00 120.00
Space group R-3c (No. 167, hexagonal axes)
One atom of each set of equivalent atoms:
Pu 0.0000 0.0000 0.0000
Np 0.0000 0.0000 0.2500
Np 0.0000 0.3896 0.2500
Se 0.0302 0.2093 0.3825

DOS at the Fermi energy	259.413	states/eV/cell
VASP energy	-8.901	eV per atom
magnetic moment	3.372	μB per formula unit

---

No. 11
Entry from Alexandria: Zr2ZnNi9 after structural relaxation (PBE).

abc: 3.724 3.724 10.955
angles: 90.00 90.00 90.00
Space group P4/mmm (No. 123)
One atom of each set of equivalent atoms:
Zr 0.000 0.000 0.175
Zn 0.000 0.000 0.500
Ni 0.000 0.500 0.000
Ni 0.000 0.500 0.345
Ni 0.500 0.500 0.171
Ni 0.500 0.500 0.500

DOS at the Fermi energy	10.637	states/eV/cell
magnetic moment	0.957	μB per formula unit
E_form	-0.330	eV/atom

---

No. 12
Entry from Alexandria: Er2CdSe after structural relaxation (PBE).

abc: 3.7310 3.7310 29.4789
angles: 90.00 90.00 120.00
Space group R-3m (No. 166, hexagonal axes)
One atom of each set of equivalent atoms:
Er 0.0000 0.0000 0.1062
Cd 0.0000 0.0000 0.0000
Se 0.0000 0.0000 0.5000

DOS at the Fermi energy	10.706	states/eV/cell
magnetic moment	0.000	μB per formula unit
E above lowest polymorph	1.27	eV per formula unit

---

No. 13
Entry from Alexandria: LaTcAu2O after structural relaxation (PBE).

abc: 4.881 4.881 5.544
angles: 90.00 90.00 90.00
Space group P4/mmm (No. 123)
One atom of each set of equivalent atoms:
La 0.000 0.000 0.000
Tc 0.000 0.000 0.500
Au 0.000 0.500 0.500
O 0.500 0.500 0.000

DOS at the Fermi energy	8.636	states/eV/cell
VASP energy	-4.704	eV per atom
magnetic moment	0.000	μB per formula unit

---

No. 14
Entry from Alexandria: MgFeW2 after structural relaxation (PBE).

abc: 2.665 4.493 5.232
angles: 90.00 101.65 90.00
Space group P2/m (No. 10)
One atom of each set of equivalent atoms:
Mg 0.000 0.000 0.000
Fe 0.500 0.000 0.500
W 0.264 0.500 0.743

DOS at the Fermi energy	2.894	states/eV/cell
magnetic moment	2.029	μB per formula unit
E_form	0.371	eV/atom

---

No. 15
Entry from Alexandria: MgOsPb2 after structural relaxation (PBE).

abc: 7.087 7.087 7.087
angles: 90.00 90.00 90.00
Space group F-43m (No. 216)
One atom of each set of equivalent atoms:
Mg 0.000 0.000 0.000
Os 0.250 0.250 0.250
Pb 0.000 0.000 0.500
Pb 0.250 0.250 0.750

DOS at the Fermi energy	12.712	states/eV/cell
magnetic moment	0.000	μB per formula unit
E_form	0.715	eV/atom

---

No. 16
Entry from Alexandria: CaMo2S after structural relaxation (PBE).

abc: 3.775 3.775 21.564
angles: 90.00 90.00 90.00
Space group I-42d (No. 122)
One atom of each set of equivalent atoms:
Ca 0.000 0.000 0.000
Mo 0.214 0.250 0.625
S 0.000 0.000 0.500

DOS at the Fermi energy	14.706	states/eV/cell
VASP energy	-6.715	eV per atom
magnetic moment	0.000	μB per formula unit

---

No. 17
Entry from Alexandria: Li7AlCd2 after structural relaxation (PBE).

abc: 9.478 15.877 2.833
angles: 90.00 90.00 90.00
Space group Cmmm (No. 65)
One atom of each set of equivalent atoms:
Li 0.000 0.000 0.000
Li 0.000 0.325 0.500
Li 0.229 0.414 0.000
Al 0.000 0.500 0.500
Cd 0.000 0.174 0.000

DOS at the Fermi energy	8.637	states/eV/cell
magnetic moment	0.000	μB per formula unit
E above lowest polymorph	1.13	eV per formula unit
E_form	0.025	eV/atom

---

No. 18
Entry from Alexandria: Pm2Al5Rh3 after structural relaxation (PBE).

abc: 4.296 25.278 6.799
angles: 90.00 90.00 90.00
Space group Cmc2_1 (No. 36)
One atom of each set of equivalent atoms:
Pm 0.000 0.022 0.000
Pm 0.000 0.325 0.938
Al 0.000 0.101 0.628
Al 0.000 0.207 0.120
Al 0.000 0.212 0.728
Al 0.000 0.370 0.463
Al 0.000 0.443 0.830
Rh 0.000 0.109 0.244
Rh 0.000 0.272 0.422
Rh 0.000 0.450 0.212

DOS at the Fermi energy	22.473	states/eV/cell
magnetic moment	0.000	μB per formula unit
E_form	-0.777	eV/atom

---

No. 19
Entry from Alexandria: VZnTe2I after structural relaxation (PBE).

abc: 5.158 5.158 5.884
angles: 90.00 90.00 90.00
Space group P4/mmm (No. 123)
One atom of each set of equivalent atoms:
V 0.000 0.000 0.000
Zn 0.500 0.500 0.500
Te 0.000 0.500 0.000
I 0.000 0.000 0.500

DOS at the Fermi energy	4.128	states/eV/cell
magnetic moment	0.730	μB per formula unit
E above lowest polymorph	0.00	eV per formula unit

---

No. 20
Entry from Alexandria: CaPuPd after structural relaxation (PBE).

abc: 5.981 10.221 20.165
angles: 90.00 90.00 90.00
Space group Fddd (No. 70, origin choice 2)
One atom of each set of equivalent atoms:
Ca 0.125 0.292 0.125
Pu 0.125 0.125 0.540
Pd 0.125 0.125 0.000

DOS at the Fermi energy	136.785	states/eV/cell
magnetic moment	6.447	μB per formula unit
E_form	-0.317	eV/atom

---

No. 21
Entry from Alexandria: LiCoAg2 after structural relaxation (PBE).

abc: 3.000 4.509 9.190
angles: 90.00 90.00 90.00
Space group Cmm2 (No. 35)
One atom of each set of equivalent atoms:
Li 0.000 0.000 0.000
Co 0.000 0.500 0.226
Ag 0.000 0.000 0.471
Ag 0.000 0.500 0.748

DOS at the Fermi energy	5.445	states/eV/cell
magnetic moment	1.594	μB per formula unit
E_form	0.215	eV/atom

---

No. 22
Entry from Alexandria: Al6GaRu after structural relaxation (PBE).

abc: 8.9723 8.9723 5.6667
angles: 90.00 90.00 120.00
Space group R-3m (No. 166, hexagonal axes)
One atom of each set of equivalent atoms:
Al 0.0117 0.5059 0.2623
Ga 0.0000 0.0000 0.0000
Ru 0.0000 0.0000 0.5000

DOS at the Fermi energy	6.154	states/eV/cell
magnetic moment	0.000	μB per formula unit
E_form	-0.047	eV/atom

---

No. 23
Entry from Alexandria: CaBiPRu2 after structural relaxation (PBE).

abc: 4.480 4.480 5.389
angles: 90.00 90.00 90.00
Space group P4/mmm (No. 123)
One atom of each set of equivalent atoms:
Ca 0.000 0.000 0.000
Bi 0.500 0.500 0.000
P 0.500 0.500 0.500
Ru 0.000 0.500 0.500

DOS at the Fermi energy	4.210	states/eV/cell
magnetic moment	0.000	μB per formula unit
E_form	0.172	eV/atom